Computed, not measured: a geometry-optimized DyGePd structure at the PBE level of DFT.

Results
Electronic total energy: -5.01 eV per atom
M_tot: 0.0 μB per cell

a b c (Å): 6.6037 6.6037 6.6037
angles (deg): 90.00 90.00 90.00
Space group F-43m (No. 216)
Symmetry-distinct sites (fractional):
Dy 0.0000 0.0000 0.0000 x4
Ge 0.2500 0.2500 0.7500 x4
Pd 0.2500 0.2500 0.2500 x4

***

Computed, not measured: a geometry-optimized Ta4CoSi structure at the PBE level of DFT.

Results
Electronic total energy: -10.43 eV per atom
M_tot: 0.0 μB per cell

a b c (Å): 6.1810 6.1810 4.9953
angles (deg): 90.00 90.00 90.00
Space group I422 (No. 97)
Symmetry-distinct sites (fractional):
Ta 0.1601 0.3399 0.2500 x8
Co 0.0000 0.0000 0.5000 x2
Si 0.0000 0.0000 0.0000 x2

***

Computed, not measured: a geometry-optimized MgCuPd2 structure at the PBE level of DFT.

Results
Electronic total energy: -4.20 eV per atom

a b c (Å): 6.9773 7.3510 5.0131
angles (deg): 90.00 90.00 90.00
Space group Pnma (No. 62)
Symmetry-distinct sites (fractional):
Mg 0.0313 0.2500 0.1132 x4
Cu 0.1092 0.7500 0.3903 x4
Pd 0.1876 0.0550 0.5895 x8

***

Computed, not measured: a geometry-optimized PmGdS2 structure at the PBE level of DFT.

Results
Electronic total energy: -6.44 eV per atom
M_tot: 0.0 μB per cell

a b c (Å): 3.9888 3.9888 5.6429
angles (deg): 90.00 90.00 90.00
Space group P4/mmm (No. 123)
Symmetry-distinct sites (fractional):
Pm 0.0000 0.0000 0.0000 x1
Gd 0.5000 0.5000 0.5000 x1
S 0.0000 0.0000 0.5000 x1
S 0.5000 0.5000 0.0000 x1

***

Computed, not measured: a geometry-optimized LiTaFeSi structure at the PBE level of DFT.

Results
Offset from the most stable computed form: 113 kJ/mol of formula units
M_tot: 0.0 μB per cell

a b c (Å): 5.9402 5.9402 5.9402
angles (deg): 90.00 90.00 90.00
Space group F-43m (No. 216)
Symmetry-distinct sites (fractional):
Li 0.0000 0.0000 0.0000 x4
Ta 0.0000 0.0000 0.5000 x4
Fe 0.2500 0.2500 0.2500 x4
Si 0.2500 0.2500 0.7500 x4

***

Computed, not measured: a geometry-optimized Nd2SmAl2Ni4 structure at the PBE level of DFT.

Results
Electronic total energy: -5.38 eV per atom
M_tot: 0.0 μB per cell

a b c (Å): 10.0220 4.1391 8.2701
angles (deg): 90.00 98.69 90.00
Space group C2/m (No. 12)
Symmetry-distinct sites (fractional):
Nd 0.1245 0.0000 0.3801 x4
Sm 0.0000 0.5000 0.0000 x2
Al 0.1782 0.0000 0.7880 x4
Ni 0.0850 0.5000 0.6372 x4
Ni 0.2352 0.0000 0.0857 x4